Record 1
## Mg2CrBr (PBE)

Data for crystalline Mg2CrBr at its relaxed geometry.

Its energy above the most stable polymorph in this dataset is 60.3 meV/atom. The total energy is -3.60 eV per atom. The calculation puts the density of states at the Fermi level at 2.2 states/eV per cell. Its formation energy without anion corrections is 26 meV/atom.

```
Mg2CrBr
1.0
8.9019 -0.0746 -0.0441
8.2550 3.3321 -0.0441
8.2550 1.5674 2.9408
Br Mg Cr
1 2 1
direct
0.2500 0.2500 0.2500
0.9996 0.9996 0.9996
0.5004 0.5004 0.5004
0.7500 0.7500 0.7500
```



Record 2
## Mg2CrBr (PBE)

Data for crystalline Mg2CrBr at its relaxed geometry.

Its energy above the most stable polymorph in this dataset is 268.0 meV/atom. The total energy is -3.39 eV per atom. The calculation puts the density of states at the Fermi level at 2.7 states/eV per cell. Its formation energy without anion corrections is 234 meV/atom.

```
Mg2CrBr
1.0
7.8249 0.0000 0.0000
0.0000 7.8249 0.0000
3.9125 3.9125 3.1997
Mg Br Cr
4 2 2
direct
0.3750 0.3602 0.7500
0.6398 0.1250 0.2500
0.1102 0.6250 0.2500
0.8750 0.8898 0.7500
0.7500 0.2500 0.5000
0.0000 0.0000 0.0000
0.5000 0.5000 0.0000
0.2500 0.7500 0.5000
```



Record 3
## MgCrBr3 (PBE)

Data for crystalline MgCrBr3 at its relaxed geometry.

The total energy is -3.72 eV per atom. The calculation puts the density of states at the Fermi level at 14.2 states/eV per cell. Its formation energy without anion corrections is -477 meV/atom.

```
MgCrBr3
1.0
5.2375 0.0000 0.0000
0.0000 5.2375 0.0000
0.0000 0.0000 5.2375
Cr Br Mg
1 3 1
direct
0.5000 0.5000 0.5000
0.0000 0.0000 0.5000
0.5000 0.0000 0.0000
0.0000 0.5000 0.0000
0.0000 0.0000 0.0000
```



Record 4
## Mg2CrBr (PBE)

Data for crystalline Mg2CrBr at its relaxed geometry.

Its energy above the most stable polymorph in this dataset is 208.1 meV/atom. The total energy is -3.45 eV per atom. The calculation puts the density of states at the Fermi level at 2.5 states/eV per cell. Its formation energy without anion corrections is 174 meV/atom.

```
Mg2CrBr
1.0
-2.5973 0.9942 -1.8083
-2.8003 -3.9648 1.8423
-1.6091 2.9690 3.9435
Mg Br Cr
2 1 1
direct
0.0000 0.0000 0.0000
0.0000 0.5000 0.5000
0.5000 0.5000 0.0000
0.5000 0.0000 0.5000
```



Record 5
## Mg2CrBr (PBE)

Data for crystalline Mg2CrBr at its relaxed geometry.

Its energy above the most stable polymorph in this dataset is 43.0 meV/atom. The total energy is -3.61 eV per atom. The calculation puts the density of states at the Fermi level at 1.3 states/eV per cell. Its formation energy without anion corrections is 9 meV/atom.

```
Mg2CrBr
1.0
-3.1561 -0.6829 -0.8091
0.3893 -3.1143 1.1100
-2.3158 2.2526 7.1319
Br Cr Mg
1 1 2
direct
0.5000 0.5000 0.2500
0.5000 0.5000 0.7500
0.0000 0.0000 0.5238
0.0000 0.0000 0.9762
```



Record 6
## Mg2CrBr (PBE)

Data for crystalline Mg2CrBr at its relaxed geometry.

Its energy above the most stable polymorph in this dataset is 322.7 meV/atom. The total energy is -3.33 eV per atom. The calculation puts the density of states at the Fermi level at 2.1 states/eV per cell. Its formation energy without anion corrections is 289 meV/atom.

```
Mg2CrBr
1.0
3.3646 0.0000 0.0000
0.0000 5.3185 0.0000
0.0000 0.0000 5.0723
Br Mg Cr
1 2 1
direct
0.5000 0.0000 0.5000
0.5000 0.5000 0.0000
0.0000 0.0000 0.0000
0.0000 0.5000 0.5000
```



Record 7
## Mg2CrBr (PBE)

Data for crystalline Mg2CrBr at its relaxed geometry.

Its energy above the most stable polymorph in this dataset is 150.4 meV/atom. The total energy is -3.51 eV per atom. The calculation puts the density of states at the Fermi level at 2.0 states/eV per cell. Its formation energy without anion corrections is 116 meV/atom.

```
Mg2CrBr
1.0
5.7414 -0.0136 0.0004
4.7822 3.1772 0.0004
1.8494 0.5560 4.8719
Mg Cr Br
2 1 1
direct
0.7568 0.7568 0.7061
0.9739 0.9739 0.0601
0.2318 0.2318 0.2002
0.5376 0.5376 0.5336
```



Record 8
## Mg2CrBr (PBE)

Data for crystalline Mg2CrBr at its relaxed geometry.

Its energy above the most stable polymorph in this dataset is 257.6 meV/atom. The total energy is -3.40 eV per atom. The calculation puts the density of states at the Fermi level at 1.5 states/eV per cell. Its formation energy without anion corrections is 223 meV/atom.

```
Mg2CrBr
1.0
6.0130 0.0024 0.0000
3.1308 5.1336 0.0000
-4.5719 -2.5680 2.9426
Mg Cr Br
2 1 1
direct
0.0000 0.0000 0.0000
0.2500 0.7500 0.5000
0.7500 0.2500 0.5000
0.5000 0.5000 0.0000
```



For the records above, the corresponding total magnetic moment values read 4.56 4.87 5.00 4.06 3.82 4.30 4.22 4.42 μB per formula unit.